# 1
Entry from Alexandria: a relaxed structure of La2AuCl (PBE).

As for the symmetry: Imm2, No. 44. The energy comes out at -19.21 eV/cell. The calculation puts the uncorrected formation energy at -409 kJ/mol of formula units.

abc: 8.0779 8.0779 8.0779
angles: 152.32 151.65 40.04
Atoms (fractional coordinates):
1 La 0.0000 0.0000 0.0000
2 La 0.7553 0.2553 0.5000
3 Au 0.3446 0.8446 0.5000
4 Cl 0.5937 0.5937 0.0000

# 2
Entry from Alexandria: a relaxed structure of OsWSe (PBE).

As for the symmetry: P3m1, No. 156. The energy comes out at -26.52 eV/cell. The calculation puts the uncorrected formation energy at 111 kJ/mol of formula units.

abc: 2.9207 2.9207 6.4530
angles: 90.00 90.00 120.00
Atoms (fractional coordinates):
1 Os 0.0000 0.0000 0.0000
2 W 0.6667 0.3333 0.6803
3 Se 0.3333 0.6667 0.3561

# 3
Entry from Alexandria: a relaxed structure of Ni2TeMo (PBE).

As for the symmetry: I4/mmm, No. 139. The energy comes out at -24.09 eV/cell. The calculation puts the uncorrected formation energy at 140 kJ/mol of formula units.

abc: 4.7392 4.7392 4.7392
angles: 131.12 131.12 71.62
Atoms (fractional coordinates):
1 Ni 0.2500 0.7500 0.5000
2 Ni 0.7500 0.2500 0.5000
3 Te 0.0000 0.0000 0.0000
4 Mo 0.5000 0.5000 0.0000